Here is crystalline AgSn2Pd at its relaxed geometry from Alexandria. Energies are from GGA-PBE.

Cell and atoms, written as POSCAR:
```
AgSn2Pd
1.0
-2.441 -3.661 -2.139
-3.053 -2.771 2.633
-4.831 0.353 -0.686
Ag Pd Sn
1 1 2
Direct
0.500 0.500 0.500 Ag
0.000 0.000 0.000 Pd
0.250 0.250 0.250 Sn
0.750 0.750 0.750 Sn
```

Computed properties:
Offset from the most stable computed form ... 0.061 eV/atom
DFT formation energy ... -10.8 kJ/mol of atoms
Crystal system ... cubic
Space group ... Fm-3m


Here is crystalline ScSi2Au at its relaxed geometry from Alexandria. Energies are from GGA-PBE.

Cell and atoms, written as POSCAR:
```
ScSi2Au
1.0
-0.256 -3.715 -3.771
0.713 -5.031 1.506
-2.946 4.120 1.560
Au Sc Si
1 1 2
Direct
0.750 0.250 0.500 Au
0.250 0.750 0.500 Sc
0.500 0.500 0.000 Si
0.000 0.000 0.000 Si
```

Computed properties:
Energy relative to the elements, uncorrected ... -0.76 eV per formula unit
Crystal system ... orthorhombic
Space group ... Immm


Here is crystalline CdPRh2 at its relaxed geometry from Alexandria. Energies are from GGA-PBE.

Cell and atoms, written as POSCAR:
```
CdPRh2
1.0
-0.800 -4.788 -0.213
-4.594 -0.351 -1.544
4.250 1.771 -1.553
Rh P Cd
2 1 1
Direct
0.691 0.691 0.000 Rh
0.309 0.309 0.000 Rh
0.500 0.000 0.500 P
0.000 0.500 0.500 Cd
```

Computed properties:
Offset from the most stable computed form ... 0.127 eV/atom
DFT formation energy ... -28.1 kJ/mol of atoms
Crystal system ... orthorhombic
Space group ... Immm


Here is crystalline CeMgCo at its relaxed geometry from Alexandria. Energies are from GGA-PBE.

Cell and atoms, written as POSCAR:
```
CeMgCo
1.0
3.495 -0.008 0.818
-0.037 3.797 0.196
-0.342 -0.475 9.325
Ce Mg Co
2 2 2
Direct
0.702 0.906 0.145 Ce
0.539 0.408 0.472 Ce
0.324 0.406 0.900 Mg
0.916 0.907 0.717 Mg
0.063 0.909 0.423 Co
0.177 0.405 0.194 Co
```

Computed properties:
DFT formation energy ... -19.7 kJ/mol of atoms
Crystal system ... monoclinic
Space group ... C2/m


Here is crystalline RbReO5 at its relaxed geometry from Alexandria. Energies are from GGA-PBE.

Cell and atoms, written as POSCAR:
```
RbReO5
1.0
3.903 0.000 0.000
1.951 6.200 -0.031
1.951 1.078 6.106
O Re Rb
5 1 1
Direct
0.695 0.305 0.305 O
0.500 0.269 0.731 O
0.305 0.695 0.695 O
0.500 0.731 0.269 O
0.000 0.500 0.500 O
0.500 0.500 0.500 Re
0.000 0.000 0.000 Rb
```

Computed properties:
Energy relative to the elements, uncorrected ... -7.34 eV per formula unit
Crystal system ... orthorhombic
Space group ... Immm


Here is crystalline TbNpP2Ir5 at its relaxed geometry from Alexandria. Energies are from GGA-PBE.

Cell and atoms, written as POSCAR:
```
TbNpP2Ir5
1.0
-3.362 -2.166 0.258
0.458 -1.164 -3.807
5.908 -8.767 3.389
Ir Np Tb P
5 1 1 2
Direct
0.500 0.000 0.803 Ir
0.500 0.500 0.500 Ir
0.500 0.000 0.197 Ir
0.000 0.500 0.197 Ir
0.000 0.500 0.803 Ir
0.000 0.000 0.500 Np
0.000 0.000 0.000 Tb
0.500 0.500 0.293 P
0.500 0.500 0.707 P
```

Computed properties:
DFT formation energy ... -44.7 kJ/mol of atoms
Crystal system ... tetragonal
Space group ... P4/mmm


Here is crystalline TaTlNi2 at its relaxed geometry from Alexandria. Energies are from GGA-PBE.

Cell and atoms, written as POSCAR:
```
TaTlNi2
1.0
4.833 -0.023 0.000
1.591 4.564 0.000
-3.212 -2.271 2.809
Ni Ta Tl
2 1 1
Direct
0.000 0.000 0.000 Ni
0.250 0.750 0.500 Ni
0.500 0.500 0.000 Ta
0.750 0.250 0.500 Tl
```

Computed properties:
Offset from the most stable computed form ... 0.295 eV/atom
DFT formation energy ... 29.9 kJ/mol of atoms
Crystal system ... tetragonal
Space group ... I-4m2


Here is crystalline BaSF6 at its relaxed geometry from Alexandria. Energies are from GGA-PBE.

Cell and atoms, written as POSCAR:
```
BaSF6
1.0
16.212 -3.378 -5.582
-5.608 3.845 -0.367
-4.440 0.329 5.151
F S Ba
6 1 1
Direct
0.501 0.231 0.262 F
0.921 0.813 0.150 F
0.499 0.738 0.769 F
0.966 0.313 0.929 F
0.079 0.850 0.187 F
0.034 0.071 0.687 F
0.000 0.004 0.996 S
0.500 0.981 0.019 Ba
```

Computed properties:
Offset from the most stable computed form ... 0.000 eV/atom
Energy relative to the elements, uncorrected ... -19.20 eV per formula unit
Crystal system ... monoclinic
Space group ... C2


Here is crystalline SrTb3 at its relaxed geometry from Alexandria. Energies are from GGA-PBE.

Cell and atoms, written as POSCAR:
```
SrTb3
1.0
-3.419 2.386 3.139
-1.639 -4.638 1.741
6.100 1.280 1.333
Tb Sr
3 1
Direct
0.250 0.750 0.500 Tb
0.500 0.500 0.000 Tb
0.750 0.250 0.500 Tb
0.000 0.000 0.000 Sr
```

Computed properties:
DFT formation energy ... 19.1 kJ/mol of atoms
Crystal system ... tetragonal
Space group ... I4/mmm


Here is crystalline CsMg2Al2 at its relaxed geometry from Alexandria. Energies are from GGA-PBE.

Cell and atoms, written as POSCAR:
```
CsMg2Al2
1.0
-2.215 8.940 -1.931
-5.411 -2.883 -7.139
-2.454 -0.190 1.937
Mg Cs Al
4 2 4
Direct
0.639 0.861 0.500 Mg
0.139 0.639 0.500 Mg
0.361 0.139 0.500 Mg
0.861 0.361 0.500 Mg
0.000 0.000 0.000 Cs
0.500 0.500 0.000 Cs
0.357 0.857 0.000 Al
0.143 0.357 0.000 Al
0.857 0.643 0.000 Al
0.643 0.143 0.000 Al
```

Computed properties:
DFT formation energy ... 24.8 kJ/mol of atoms
Crystal system ... tetragonal
Space group ... P4/mbm


Here is crystalline CsKAg2 at its relaxed geometry from Alexandria. Energies are from GGA-PBE.

Cell and atoms, written as POSCAR:
```
CsKAg2
1.0
3.569 -4.065 2.877
-1.721 -2.298 5.413
-1.753 -5.856 0.425
Cs Ag K
1 2 1
Direct
0.500 0.500 0.500 Cs
0.750 0.750 0.750 Ag
0.250 0.250 0.250 Ag
0.000 0.000 0.000 K
```

Computed properties:
Offset from the most stable computed form ... 0.100 eV/atom
DFT formation energy ... 10.6 kJ/mol of atoms
Crystal system ... cubic
Space group ... Fm-3m


Here is crystalline CrCo2Br8 at its relaxed geometry from Alexandria. Energies are from GGA-PBE.

Cell and atoms, written as POSCAR:
```
CrCo2Br8
1.0
-0.427 -3.390 5.263
7.272 -3.300 -1.448
6.053 4.263 3.325
Br Co Cr
8 2 1
Direct
0.695 0.669 0.669 Br
0.223 0.840 0.840 Br
0.233 0.272 0.881 Br
0.767 0.119 0.728 Br
0.233 0.881 0.272 Br
0.777 0.160 0.160 Br
0.767 0.728 0.119 Br
0.305 0.331 0.331 Br
0.401 0.168 0.168 Co
0.599 0.832 0.832 Co
0.000 0.000 0.000 Cr
```

Computed properties:
Energy relative to the elements, uncorrected ... -4.76 eV per formula unit
Crystal system ... monoclinic
Space group ... C2/m


Here is crystalline CsNpHg2O6 at its relaxed geometry from Alexandria. Energies are from GGA-PBE.

Cell and atoms, written as POSCAR:
```
CsNpHg2O6
1.0
-1.244 -5.966 1.858
5.821 2.446 0.841
-2.538 4.929 3.188
O Cs Np Hg
6 1 1 2
Direct
0.368 0.010 0.210 O
0.214 0.358 0.209 O
0.779 0.637 0.751 O
0.866 0.856 0.210 O
0.625 0.986 0.751 O
0.126 0.139 0.750 O
0.997 0.498 0.480 Cs
0.997 0.998 0.980 Np
0.447 0.223 0.657 Hg
0.547 0.773 0.305 Hg
```

Computed properties:
Energy relative to the elements, uncorrected ... -14.61 eV per formula unit
Crystal system ... triclinic
Space group ... P-1


Here is crystalline Th2AsRu at its relaxed geometry from Alexandria. Energies are from GGA-PBE.

Cell and atoms, written as POSCAR:
```
Th2AsRu
1.0
-0.517 5.906 0.430
-0.989 0.339 -5.851
-11.555 -1.149 1.893
Ru As Th
4 4 8
Direct
0.751 0.500 0.375 Ru
0.249 0.000 0.875 Ru
0.751 0.000 0.125 Ru
0.249 0.500 0.625 Ru
0.251 0.500 0.125 As
0.749 0.000 0.625 As
0.749 0.500 0.875 As
0.251 0.000 0.375 As
0.250 0.000 0.112 Th
0.249 0.000 0.638 Th
0.750 0.000 0.888 Th
0.250 0.500 0.388 Th
0.249 0.500 0.862 Th
0.750 0.500 0.612 Th
0.751 0.000 0.362 Th
0.751 0.500 0.138 Th
```

Computed properties:
DFT formation energy ... -79.6 kJ/mol of atoms
Crystal system ... orthorhombic
Space group ... Pmna


Here is crystalline Ba2MnBe at its relaxed geometry from Alexandria. Energies are from GGA-PBE.

Cell and atoms, written as POSCAR:
```
Ba2MnBe
1.0
11.714 0.000 0.000
0.000 11.714 0.000
5.857 5.857 2.248
Ba Be Mn
4 2 2
Direct
0.875 0.061 0.750 Ba
0.811 0.125 0.250 Ba
0.939 0.625 0.250 Ba
0.375 0.189 0.750 Ba
0.250 0.750 0.500 Be
0.500 0.500 0.000 Be
0.000 0.000 0.000 Mn
0.750 0.250 0.500 Mn
```

Computed properties:
DFT formation energy ... 61.2 kJ/mol of atoms
Crystal system ... tetragonal
Space group ... I-42d


Here is crystalline TlIn2Co at its relaxed geometry from Alexandria. Energies are from GGA-PBE.

Cell and atoms, written as POSCAR:
```
TlIn2Co
1.0
-4.390 2.287 -2.318
-4.513 -2.929 0.967
3.944 1.950 3.243
Tl In Co
1 2 1
Direct
0.250 0.750 0.500 Tl
0.500 0.500 0.000 In
0.000 0.000 0.000 In
0.750 0.250 0.500 Co
```

Computed properties:
Offset from the most stable computed form ... 0.288 eV/atom
DFT formation energy ... 42.5 kJ/mol of atoms
Crystal system ... tetragonal
Space group ... I4/mmm


Here is crystalline Li3HoAu3 at its relaxed geometry from Alexandria. Energies are from GGA-PBE.

Cell and atoms, written as POSCAR:
```
Li3HoAu3
1.0
6.688 0.000 0.000
0.000 6.688 0.000
0.000 0.000 6.688
Au Ho Li
6 2 6
Direct
0.750 0.500 0.000 Au
0.000 0.250 0.500 Au
0.500 0.000 0.750 Au
0.000 0.750 0.500 Au
0.500 0.000 0.250 Au
0.250 0.500 0.000 Au
0.000 0.000 0.000 Ho
0.500 0.500 0.500 Ho
0.000 0.500 0.750 Li
0.750 0.000 0.500 Li
0.500 0.250 0.000 Li
0.500 0.750 0.000 Li
0.250 0.000 0.500 Li
0.000 0.500 0.250 Li
```

Computed properties:
Offset from the most stable computed form ... 0.418 eV/atom
DFT formation energy ... -8.6 kJ/mol of atoms
Crystal system ... cubic
Space group ... Pm-3n


Here is crystalline Pr3Dy6Ho2Pu at its relaxed geometry from Alexandria. Energies are from GGA-PBE.

Cell and atoms, written as POSCAR:
```
Pr3Dy6Ho2Pu
1.0
-1.576 4.451 4.005
-4.316 -2.601 -3.598
0.016 -8.632 8.000
Dy Ho Pr Pu
6 2 3 1
Direct
0.919 0.590 0.757 Dy
0.410 0.081 0.243 Dy
0.752 0.752 0.244 Dy
0.590 0.919 0.757 Dy
0.248 0.248 0.756 Dy
0.081 0.410 0.243 Dy
0.333 0.667 0.000 Ho
0.667 0.333 0.000 Ho
0.500 0.500 0.500 Pr
0.833 0.167 0.500 Pr
0.167 0.833 0.500 Pr
0.000 0.000 0.000 Pu
```

Computed properties:
DFT formation energy ... 4.4 kJ/mol of atoms
Crystal system ... monoclinic
Space group ... C2/m


Here is crystalline CaYIn2Se4 at its relaxed geometry from Alexandria. Energies are from GGA-PBE.

Cell and atoms, written as POSCAR:
```
CaYIn2Se4
1.0
-2.484 1.848 2.814
-5.133 -5.568 -0.873
1.525 -5.329 4.846
Se In Ca Y
4 2 1 1
Direct
0.000 0.731 0.742 Se
0.500 0.723 0.272 Se
0.500 0.277 0.728 Se
0.000 0.269 0.258 Se
0.000 0.000 0.000 In
0.500 0.000 0.500 In
0.500 0.500 0.000 Ca
0.000 0.500 0.500 Y
```

Computed properties:
Energy relative to the elements, uncorrected ... -9.59 eV per formula unit
Crystal system ... monoclinic
Space group ... P2/m


Here is crystalline KScAl at its relaxed geometry from Alexandria. Energies are from GGA-PBE.

Cell and atoms, written as POSCAR:
```
KScAl
1.0
7.142 -0.004 0.012
5.000 5.100 -0.012
-5.784 -3.232 2.667
Al K Sc
1 1 1
Direct
0.052 0.052 0.000 Al
0.341 0.341 0.000 K
0.607 0.607 0.000 Sc
```

Computed properties:
Offset from the most stable computed form ... 0.024 eV/atom
DFT formation energy ... 21.4 kJ/mol of atoms
Crystal system ... orthorhombic
Space group ... Imm2


Here is crystalline Y2ZrW at its relaxed geometry from Alexandria. Energies are from GGA-PBE.

Cell and atoms, written as POSCAR:
```
Y2ZrW
1.0
3.559 0.000 0.000
0.000 3.559 0.000
0.000 0.000 8.069
Zr W Y
1 1 2
Direct
0.000 0.000 0.551 Zr
0.500 0.500 0.714 W
0.000 0.000 0.944 Y
0.500 0.500 0.291 Y
```

Computed properties:
Offset from the most stable computed form ... 0.000 eV/atom
DFT formation energy ... 22.2 kJ/mol of atoms
Crystal system ... tetragonal
Space group ... P4mm


Here is crystalline RbRuS2N at its relaxed geometry from Alexandria. Energies are from GGA-PBE.

Cell and atoms, written as POSCAR:
```
RbRuS2N
1.0
-0.265 -4.107 3.984
4.862 -2.264 -2.011
2.622 2.858 3.121
Ru N S Rb
1 1 2 1
Direct
0.500 0.500 0.500 Ru
0.000 0.000 0.500 N
0.500 0.000 0.000 S
0.000 0.500 0.000 S
0.000 0.000 0.000 Rb
```

Computed properties:
Offset from the most stable computed form ... 2.373 eV/atom
Energy relative to the elements, uncorrected ... 12.54 eV per formula unit
Crystal system ... tetragonal
Space group ... P4/mmm


Here is crystalline Ni4Pb at its relaxed geometry from Alexandria. Energies are from GGA-PBE.

Cell and atoms, written as POSCAR:
```
Ni4Pb
1.0
3.928 2.278 1.903
-3.939 0.892 2.815
0.835 -4.849 -0.164
Ni Pb
4 1
Direct
0.000 0.000 0.500 Ni
0.500 0.000 0.000 Ni
0.000 0.500 0.000 Ni
0.500 0.500 0.500 Ni
0.000 0.000 0.000 Pb
```

Computed properties:
Offset from the most stable computed form ... 0.764 eV/atom
DFT formation energy ... 104.6 kJ/mol of atoms
Crystal system ... cubic
Space group ... Im-3m


Here is crystalline Pr6Te3Pb at its relaxed geometry from Alexandria. Energies are from GGA-PBE.

Cell and atoms, written as POSCAR:
```
Pr6Te3Pb
1.0
4.369 0.000 0.000
0.000 12.673 0.317
0.000 -3.934 12.495
Pr Te Pb
12 6 2
Direct
0.250 0.880 0.540 Pr
0.750 0.120 0.460 Pr
0.750 0.749 0.290 Pr
0.750 0.931 0.115 Pr
0.250 0.204 0.244 Pr
0.750 0.796 0.756 Pr
0.250 0.509 0.358 Pr
0.250 0.251 0.710 Pr
0.750 0.491 0.642 Pr
0.250 0.595 0.903 Pr
0.250 0.069 0.885 Pr
0.750 0.405 0.097 Pr
0.750 0.406 0.853 Te
0.250 0.327 0.496 Te
0.250 0.847 0.937 Te
0.750 0.673 0.504 Te
0.250 0.594 0.147 Te
0.750 0.153 0.063 Te
0.750 0.046 0.689 Pb
0.250 0.954 0.311 Pb
```

Computed properties:
Energy relative to the elements, uncorrected ... -9.21 eV per formula unit
Crystal system ... monoclinic
Space group ... P2_1/m


Here is crystalline Ba6Pt2I3Cl at its relaxed geometry from Alexandria. Energies are from GGA-PBE.

Cell and atoms, written as POSCAR:
```
Ba6Pt2I3Cl
1.0
8.134 0.001 0.002
-4.064 7.046 0.002
-1.355 -2.346 8.642
I Ba Pt Cl
3 6 2 1
Direct
0.500 0.500 0.500 I
0.161 0.839 0.500 I
0.839 0.161 0.500 I
0.420 0.067 0.204 Ba
0.285 0.285 0.798 Ba
0.933 0.580 0.796 Ba
0.580 0.933 0.796 Ba
0.715 0.715 0.202 Ba
0.067 0.420 0.204 Ba
0.333 0.667 0.000 Pt
0.667 0.333 0.000 Pt
0.000 0.000 0.000 Cl
```

Computed properties:
Energy relative to the elements, uncorrected ... -15.68 eV per formula unit
Crystal system ... monoclinic
Space group ... C2/m


Looking at V for the records above, in order, we have 82.80 69.03 64.36 125.14 147.87 178.30 62.07 134.95 141.55 277.35 162.67 381.99 183.74 415.66 308.46 85.78 299.12 384.53 222.94 97.08 102.23 163.33 91.87 697.28 495.38 Å³ per cell.